# 1
VASP calculation (PBE) on a geometry-optimized NdNi3 structure.

Cell and atoms, written as CIF:
```
data_NdNi3
_chemical_formula_sum 'Nd1 Ni3'
_cell_length_a 4.7808
_cell_length_b 4.7808
_cell_length_c 4.7808
_cell_angle_alpha 130.67
_cell_angle_beta 130.67
_cell_angle_gamma 72.34
_symmetry_space_group_name_H-M 'P 1'
_symmetry_Int_Tables_number 1
loop_
_symmetry_equiv_pos_as_xyz
'x,y,z'
loop_
_atom_site_label
_atom_site_type_symbol
_atom_site_fract_x
_atom_site_fract_y
_atom_site_fract_z
Ni1 Ni 0.7500 0.2500 0.5000
Ni2 Ni 0.2500 0.7500 0.5000
Ni3 Ni 0.5000 0.5000 0.0000
Nd1 Nd 0.0000 0.0000 0.0000
```

Output
Formation energy ... -0.0273 eV per atom

=====

# 2
VASP calculation (PBE) on a geometry-optimized ZrNi structure.

Cell and atoms, written as CIF:
```
data_ZrNi
_chemical_formula_sum 'Zr4 Ni4'
_cell_length_a 4.2372
_cell_length_b 7.6671
_cell_length_c 4.0824
_cell_angle_alpha 90.00
_cell_angle_beta 90.00
_cell_angle_gamma 90.00
_symmetry_space_group_name_H-M 'P 1'
_symmetry_Int_Tables_number 1
loop_
_symmetry_equiv_pos_as_xyz
'x,y,z'
loop_
_atom_site_label
_atom_site_type_symbol
_atom_site_fract_x
_atom_site_fract_y
_atom_site_fract_z
Ni1 Ni 0.9021 0.7822 0.5000
Ni2 Ni 0.3399 0.0000 0.5000
Ni3 Ni 0.9514 0.0000 0.0000
Ni4 Ni 0.9021 0.2178 0.5000
Zr1 Zr 0.4503 0.2031 0.0000
Zr2 Zr 0.9220 0.5000 0.0000
Zr3 Zr 0.4503 0.7969 0.0000
Zr4 Zr 0.4153 0.5000 0.5000
```

Output
Formation energy ... -0.1118 eV per atom

=====

# 3
VASP calculation (PBE) on a geometry-optimized SmHg structure.

Cell and atoms, written as CIF:
```
data_SmHg
_chemical_formula_sum 'Sm1 Hg1'
_cell_length_a 4.8165
_cell_length_b 4.8165
_cell_length_c 4.8165
_cell_angle_alpha 60.00
_cell_angle_beta 60.00
_cell_angle_gamma 60.00
_symmetry_space_group_name_H-M 'P 1'
_symmetry_Int_Tables_number 1
loop_
_symmetry_equiv_pos_as_xyz
'x,y,z'
loop_
_atom_site_label
_atom_site_type_symbol
_atom_site_fract_x
_atom_site_fract_y
_atom_site_fract_z
Hg1 Hg 0.0000 0.0000 0.0000
Sm1 Sm 0.2500 0.2500 0.2500
```

Output
Formation energy ... 0.3123 eV per atom